No. 1
# GGA-PBE CsV2Ni, optimized geometry
data_CsV2Ni
_cell_length_a 6.398
_cell_length_b 6.398
_cell_length_c 6.398
_cell_angle_alpha 90.00
_cell_angle_beta 90.00
_cell_angle_gamma 90.00
_space_group_name_H-M_alt 'F m -3 m'
_space_group_IT_number 225
_space_group_name_Hall '-F 4 2 3'
loop_
_atom_site_label
_atom_site_type_symbol
_atom_site_fract_x
_atom_site_fract_y
_atom_site_fract_z
Cs1 Cs 0.000 0.000 0.000
V1 V 0.250 0.250 0.250
Ni1 Ni 0.000 0.000 0.500
# - Spin magnetization: 0.2 μB per formula unit
# - Calculated formation energy: 1.587 eV/atom


No. 2
# GGA-PBE LaDy2Pd9, optimized geometry
data_LaDy2Pd9
_cell_length_a 4.170
_cell_length_b 4.170
_cell_length_c 12.418
_cell_angle_alpha 90.00
_cell_angle_beta 90.00
_cell_angle_gamma 90.00
_space_group_name_H-M_alt 'P 4/m m m'
_space_group_IT_number 123
_space_group_name_Hall '-P 4 2'
loop_
_atom_site_label
_atom_site_type_symbol
_atom_site_fract_x
_atom_site_fract_y
_atom_site_fract_z
La1 La 0.000 0.000 0.000
Dy1 Dy 0.000 0.000 0.338
Pd1 Pd 0.000 0.500 0.173
Pd2 Pd 0.000 0.500 0.500
Pd3 Pd 0.500 0.500 0.000
Pd4 Pd 0.500 0.500 0.335
# - Spin magnetization: 0.0 μB per formula unit
# - Calculated formation energy: -0.847 eV/atom


No. 3
# GGA-PBE TlFe2Tc, optimized geometry
data_TlFe2Tc
_cell_length_a 4.021
_cell_length_b 4.021
_cell_length_c 7.472
_cell_angle_alpha 90.00
_cell_angle_beta 90.00
_cell_angle_gamma 90.00
_space_group_name_H-M_alt 'I 4/m m m'
_space_group_IT_number 139
_space_group_name_Hall '-I 4 2'
loop_
_atom_site_label
_atom_site_type_symbol
_atom_site_fract_x
_atom_site_fract_y
_atom_site_fract_z
Tl1 Tl 0.000 0.000 0.000
Fe1 Fe 0.000 0.500 0.250
Tc1 Tc 0.000 0.000 0.500
# - Spin magnetization: 5.5 μB per formula unit
# - Calculated formation energy: 0.569 eV/atom
# - Energy above the lowest structure with this stoichiometry: 0.61 eV per formula unit


No. 4
# GGA-PBE DyPa2Fe9, optimized geometry
data_DyPa2Fe9
_cell_length_a 5.0013
_cell_length_b 5.0013
_cell_length_c 24.5642
_cell_angle_alpha 90.00
_cell_angle_beta 90.00
_cell_angle_gamma 120.00
_space_group_name_H-M_alt 'R -3 m'
_space_group_IT_number 166
_space_group_name_Hall '-R 3 2"'
loop_
_atom_site_label
_atom_site_type_symbol
_atom_site_fract_x
_atom_site_fract_y
_atom_site_fract_z
Dy1 Dy 0.0000 0.0000 0.0000
Pa1 Pa 0.0000 0.0000 0.1426
Fe1 Fe 0.0000 0.0000 0.3332
Fe2 Fe 0.0000 0.0000 0.5000
Fe3 Fe 0.9997 0.4998 0.0820
# - Spin magnetization: 15.5 μB per formula unit
# - Calculated formation energy: -0.127 eV/atom


No. 5
# GGA-PBE TiZn2CdOs, optimized geometry
data_TiZn2CdOs
_cell_length_a 4.911
_cell_length_b 4.911
_cell_length_c 4.540
_cell_angle_alpha 90.00
_cell_angle_beta 90.00
_cell_angle_gamma 90.00
_space_group_name_H-M_alt 'P 4/m m m'
_space_group_IT_number 123
_space_group_name_Hall '-P 4 2'
loop_
_atom_site_label
_atom_site_type_symbol
_atom_site_fract_x
_atom_site_fract_y
_atom_site_fract_z
Ti1 Ti 0.000 0.000 0.000
Zn1 Zn 0.000 0.500 0.000
Cd1 Cd 0.500 0.500 0.500
Os1 Os 0.000 0.000 0.500
# - Spin magnetization: 0.0 μB per formula unit
# - Calculated formation energy: 1.028 eV/atom
# - Energy above the lowest structure with this stoichiometry: 2.83 eV per formula unit


No. 6
# GGA-PBE Pu2P3Pt9, optimized geometry
data_Pu2P3Pt9
_cell_length_a 13.780
_cell_length_b 7.940
_cell_length_c 9.821
_cell_angle_alpha 90.00
_cell_angle_beta 118.68
_cell_angle_gamma 90.00
_space_group_name_H-M_alt 'C 1 2/c 1'
_space_group_IT_number 15
loop_
_space_group_symop_operation_xyz
'x,y,z'
'-x,-y,-z'
'-x,y,-z+1/2'
'x,-y,z+1/2'
'x+1/2,y+1/2,z'
'-x+1/2,-y+1/2,-z'
'-x+1/2,y+1/2,-z+1/2'
'x+1/2,-y+1/2,z+1/2'
loop_
_atom_site_label
_atom_site_type_symbol
_atom_site_fract_x
_atom_site_fract_y
_atom_site_fract_z
Pu1 Pu 0.172 0.084 0.249
P1 P 0.097 0.218 0.492
P2 P 0.250 0.250 0.000
Pt1 Pt 0.000 0.363 0.250
Pt2 Pt 0.064 0.067 0.918
Pt3 Pt 0.099 0.313 0.720
Pt4 Pt 0.114 0.397 0.060
Pt5 Pt 0.222 0.415 0.414
# - Spin magnetization: 9.9 μB per formula unit
# - Calculated formation energy: -0.521 eV/atom


No. 7
# GGA-PBE Mn2WCl, optimized geometry
data_Mn2WCl
_cell_length_a 4.454
_cell_length_b 2.879
_cell_length_c 4.685
_cell_angle_alpha 90.00
_cell_angle_beta 99.05
_cell_angle_gamma 90.00
_space_group_name_H-M_alt 'P 1 2/m 1'
_space_group_IT_number 10
loop_
_space_group_symop_operation_xyz
'x,y,z'
'-x,-y,-z'
'-x,y,-z'
'x,-y,z'
loop_
_atom_site_label
_atom_site_type_symbol
_atom_site_fract_x
_atom_site_fract_y
_atom_site_fract_z
Mn1 Mn 0.000 0.000 0.000
Mn2 Mn 0.000 0.500 0.500
W1 W 0.500 0.000 0.500
Cl1 Cl 0.500 0.500 0.000
# - Spin magnetization: 5.4 μB per formula unit
# - Energy relative to the elements, uncorrected: 3.24 eV per formula unit
# - Energy above the lowest structure with this stoichiometry: 2.54 eV per formula unit


No. 8
# GGA-PBE ScFe2Rh, optimized geometry
data_ScFe2Rh
_cell_length_a 2.814
_cell_length_b 4.056
_cell_length_c 5.241
_cell_angle_alpha 90.00
_cell_angle_beta 103.64
_cell_angle_gamma 90.00
_space_group_name_H-M_alt 'P 1 m 1'
_space_group_IT_number 6
loop_
_space_group_symop_operation_xyz
'x,y,z'
'x,-y,z'
loop_
_atom_site_label
_atom_site_type_symbol
_atom_site_fract_x
_atom_site_fract_y
_atom_site_fract_z
Sc1 Sc 0.000 0.000 0.000
Fe1 Fe 0.523 0.000 0.486
Fe2 Fe 0.717 0.500 0.280
Rh1 Rh 0.291 0.500 0.741
# - Spin magnetization: 5.0 μB per formula unit
# - Calculated formation energy: -0.137 eV/atom


No. 9
# GGA-PBE KAg4Au2, optimized geometry
data_KAg4Au2
_cell_length_a 9.052
_cell_length_b 7.220
_cell_length_c 5.576
_cell_angle_alpha 90.00
_cell_angle_beta 126.87
_cell_angle_gamma 90.00
_space_group_name_H-M_alt 'C 1 2/m 1'
_space_group_IT_number 12
loop_
_space_group_symop_operation_xyz
'x,y,z'
'-x,-y,-z'
'-x,y,-z'
'x,-y,z'
'x+1/2,y+1/2,z'
'-x+1/2,-y+1/2,-z'
'-x+1/2,y+1/2,-z'
'x+1/2,-y+1/2,z'
loop_
_atom_site_label
_atom_site_type_symbol
_atom_site_fract_x
_atom_site_fract_y
_atom_site_fract_z
K1 K 0.000 0.000 0.000
Ag1 Ag 0.195 0.196 0.696
Au1 Au 0.001 0.500 0.751
# - Spin magnetization: 0.0 μB per formula unit
# - Calculated formation energy: -0.039 eV/atom


No. 10
# GGA-PBE Mg6TlPd5, optimized geometry
data_Mg6TlPd5
_cell_length_a 4.469
_cell_length_b 6.875
_cell_length_c 13.442
_cell_angle_alpha 90.00
_cell_angle_beta 90.00
_cell_angle_gamma 90.00
_space_group_name_H-M_alt 'I m m m'
_space_group_IT_number 71
_space_group_name_Hall '-I 2 2'
loop_
_atom_site_label
_atom_site_type_symbol
_atom_site_fract_x
_atom_site_fract_y
_atom_site_fract_z
Mg1 Mg 0.000 0.224 0.000
Mg2 Mg 0.000 0.264 0.327
Tl1 Tl 0.000 0.000 0.500
Pd1 Pd 0.000 0.000 0.170
Pd2 Pd 0.000 0.500 0.162
Pd3 Pd 0.000 0.500 0.500
# - Spin magnetization: 0.0 μB per formula unit
# - Calculated formation energy: -0.596 eV/atom


No. 11
# GGA-PBE LiNiW4, optimized geometry
data_LiNiW4
_cell_length_a 7.407
_cell_length_b 7.407
_cell_length_c 7.407
_cell_angle_alpha 90.00
_cell_angle_beta 90.00
_cell_angle_gamma 90.00
_space_group_name_H-M_alt 'F -4 3 m'
_space_group_IT_number 216
_space_group_name_Hall 'F -4 2 3'
loop_
_atom_site_label
_atom_site_type_symbol
_atom_site_fract_x
_atom_site_fract_y
_atom_site_fract_z
Li1 Li 0.000 0.000 0.000
Ni1 Ni 0.250 0.250 0.750
W1 W 0.126 0.126 0.374
# - Spin magnetization: 0.0 μB per formula unit
# - Calculated formation energy: 0.761 eV/atom


No. 12
# GGA-PBE Li3MnHg, optimized geometry
data_Li3MnHg
_cell_length_a 4.900
_cell_length_b 4.900
_cell_length_c 4.900
_cell_angle_alpha 90.00
_cell_angle_beta 90.00
_cell_angle_gamma 90.00
_space_group_name_H-M_alt 'P m -3 m'
_space_group_IT_number 221
_space_group_name_Hall '-P 4 2 3'
loop_
_atom_site_label
_atom_site_type_symbol
_atom_site_fract_x
_atom_site_fract_y
_atom_site_fract_z
Li1 Li 0.000 0.000 0.500
Mn1 Mn 0.500 0.500 0.500
Hg1 Hg 0.000 0.000 0.000
# - Spin magnetization: 4.2 μB per formula unit
# - Calculated formation energy: 0.437 eV/atom
# - Energy above the lowest structure with this stoichiometry: 0.00 eV per formula unit